Entry from the Alexandria database: a geometry-optimized PuBeS2 structure (GGA-PBE).

a = 3.4870 Å, b = 3.4870 Å, c = 22.6361 Å
α = 90.00°, β = 90.00°, γ = 120.00°
With the nearest neighbours (Å) after each atom.
Space group R-3m (No. 166, hexagonal axes)
Asymmetric unit:
Pu 0.0000 0.0000 0.0000 x3  2 S 2.59
Be 0.0000 0.0000 0.5000 x3  6 S 2.34
S 0.0000 0.0000 0.1142 x6  3 Be 2.34, 1 Pu 2.59

Summary:
- Energy relative to the elements, uncorrected: -0.3866 eV/atom
- N(E_F): 1.6146 states/eV/atom